No. 1
This record from the Alexandria database describes a geometry-optimized Ac4W structure. The functional is PBE.

Geometry as POSCAR:
```
Ac4W
1.0
5.945 0.000 0.000
0.000 5.945 0.000
0.000 0.000 5.945
Ac W
4 1
direct
0.000 0.500 0.500
0.500 0.000 0.500
0.000 0.000 0.000
0.500 0.500 0.000
0.500 0.500 0.500
```

Results
Crystal system: cubic
Energy of formation from the pure elements: 0.529 eV per atom
ρ: 8.628 g cm⁻³

***

No. 2
This record from the Alexandria database describes a geometry-optimized Ce2HoCo2 structure. The functional is PBE.

Geometry as POSCAR:
```
Ce2HoCo2
1.0
-4.852 0.538 -1.283
-2.103 -3.333 3.154
-4.357 1.335 3.863
Co Ce Ho
2 2 1
direct
0.505 0.505 0.801
0.495 0.495 0.199
0.227 0.773 0.500
0.773 0.227 0.500
0.000 0.000 0.000
```

Results
Crystal system: monoclinic
Energy of formation from the pure elements: -0.057 eV per atom
ρ: 9.155 g cm⁻³

***

No. 3
This record from the Alexandria database describes a geometry-optimized RbTeH6 structure. The functional is PBE.

Geometry as POSCAR:
```
RbTeH6
1.0
5.367 2.438 1.364
1.563 5.684 1.369
2.079 2.433 5.145
H Rb Te
6 1 1
direct
0.611 0.611 0.078
0.612 0.077 0.611
0.388 0.923 0.389
0.389 0.389 0.922
0.923 0.389 0.389
0.077 0.611 0.611
0.000 0.000 0.000
0.500 0.500 0.500
```

Results
Uncorrected energy: -0.097 hartree per atom
Crystal system: monoclinic
ρ: 3.150 g cm⁻³

***

No. 4
This record from the Alexandria database describes a geometry-optimized CrCdFeOs2 structure. The functional is PBE.

Geometry as POSCAR:
```
CrCdFeOs2
1.0
-3.579 3.062 0.711
-1.327 -2.367 3.518
2.803 2.621 2.822
Os Fe Cr Cd
2 1 1 1
direct
0.500 0.000 0.000
0.000 0.000 0.500
0.000 0.500 0.000
0.500 0.500 0.500
0.000 0.000 0.000
```

Results
Crystal system: tetragonal
Energy of formation from the pure elements: 3.174 eV per atom
ρ: 9.894 g cm⁻³

***

No. 5
This record from the Alexandria database describes a geometry-optimized Cu3NiRh structure. The functional is PBE.

Geometry as POSCAR:
```
Cu3NiRh
1.0
4.224 0.000 0.838
0.000 5.032 0.000
0.986 0.000 6.063
Cu Rh Ni
6 2 2
direct
0.808 0.000 0.883
0.808 0.500 0.883
0.994 0.750 0.514
0.192 0.000 0.117
0.192 0.500 0.117
0.006 0.250 0.486
0.605 0.750 0.292
0.395 0.250 0.708
0.618 0.250 0.261
0.382 0.750 0.739
```

Results
Crystal system: monoclinic
Energy of formation from the pure elements: 0.130 eV per atom
ρ: 9.379 g cm⁻³

***

No. 6
This record from the Alexandria database describes a geometry-optimized Nb2ReHAu structure. The functional is PBE.

Geometry as POSCAR:
```
Nb2ReHAu
1.0
4.156 0.000 0.000
0.000 4.156 0.000
0.000 0.000 4.034
Au Nb Re H
1 2 1 1
direct
0.500 0.500 0.500
0.500 0.000 0.000
0.000 0.500 0.000
0.000 0.000 0.500
0.000 0.000 0.000
```

Results
Uncorrected energy: -0.290 hartree per atom
Crystal system: tetragonal
ρ: 13.581 g cm⁻³

***

No. 7
This record from the Alexandria database describes a geometry-optimized LiCeTlCo structure. The functional is PBE.

Geometry as POSCAR:
```
LiCeTlCo
1.0
-3.761 1.286 2.551
0.093 -0.391 4.705
0.184 3.878 2.688
Ce Li Tl Co
1 1 1 1
direct
0.250 0.250 0.250
0.000 0.000 0.000
0.750 0.750 0.750
0.500 0.500 0.500
```

Results
Crystal system: cubic
Energy of formation from the pure elements: -0.059 eV per atom
ρ: 9.150 g cm⁻³

***

No. 8
This record from the Alexandria database describes a geometry-optimized NdTmLuZn structure. The functional is PBE.

Geometry as POSCAR:
```
NdTmLuZn
1.0
5.334 0.000 0.000
2.667 4.619 0.000
2.667 1.540 4.355
Nd Zn Tm Lu
1 1 1 1
direct
0.250 0.250 0.250
0.000 0.000 0.000
0.750 0.750 0.750
0.500 0.500 0.500
```

Results
Crystal system: cubic
Energy of formation from the pure elements: 0.026 eV per atom
ρ: 8.566 g cm⁻³

***

No. 9
This record from the Alexandria database describes a geometry-optimized Sm3Y4Mg structure. The functional is PBE.

Geometry as POSCAR:
```
Sm3Y4Mg
1.0
-4.663 2.149 -3.557
1.140 -5.325 -4.712
-7.347 -6.579 5.658
Y Sm Mg
8 6 2
direct
0.140 0.125 0.756
0.970 0.876 0.000
0.140 0.125 0.244
0.640 0.875 0.744
0.470 0.124 0.500
0.487 0.126 0.000
0.987 0.874 0.500
0.640 0.875 0.256
0.992 0.372 0.500
0.151 0.620 0.244
0.151 0.620 0.756
0.492 0.628 0.000
0.651 0.380 0.744
0.651 0.380 0.256
0.984 0.371 0.000
0.484 0.629 0.500
```

Results
Crystal system: orthorhombic
Energy of formation from the pure elements: -0.001 eV per atom
ρ: 5.396 g cm⁻³

***

No. 10
This record from the Alexandria database describes a geometry-optimized K3Tb3VS8 structure. The functional is PBE.

Geometry as POSCAR:
```
K3Tb3VS8
1.0
7.846 0.000 0.000
-3.923 6.795 -0.028
0.000 -4.500 7.533
S Tb K V
8 3 3 1
direct
0.239 0.026 0.314
0.788 0.026 0.314
0.212 0.974 0.686
0.788 0.575 0.314
0.265 0.530 0.296
0.761 0.974 0.686
0.735 0.470 0.704
0.212 0.425 0.686
0.500 0.000 0.500
0.000 0.500 0.500
0.500 0.500 0.500
0.000 0.000 0.000
0.000 0.500 0.000
0.500 0.500 0.000
0.000 0.000 0.500
```

Results
Formation energy (no corrections): -1.60 eV per atom
Crystal system: trigonal
ρ: 3.736 g cm⁻³

***

No. 11
This record from the Alexandria database describes a geometry-optimized Cu2Ru structure. The functional is PBE.

Geometry as POSCAR:
```
Cu2Ru
1.0
11.438 5.083 0.674
9.615 8.038 -0.220
-10.790 -6.198 1.508
Cu Ru
4 2
direct
0.331 0.831 0.500
0.581 0.581 0.000
0.419 0.419 0.000
0.169 0.669 0.500
0.000 0.000 0.000
0.750 0.250 0.500
```

Results
Crystal system: tetragonal
Energy of formation from the pure elements: 0.322 eV per atom
ρ: 9.504 g cm⁻³

***

No. 12
This record from the Alexandria database describes a geometry-optimized Co2NiAs structure. The functional is PBE.

Geometry as POSCAR:
```
Co2NiAs
1.0
-1.344 -1.672 2.700
1.783 -2.824 -0.861
6.797 0.406 5.837
Ni Co As
2 4 2
direct
0.250 0.750 0.500
0.500 0.500 0.000
0.375 0.381 0.750
0.131 0.625 0.250
0.875 0.869 0.750
0.619 0.125 0.250
0.750 0.250 0.500
0.000 0.000 0.000
```

Results
Crystal system: tetragonal
Energy of formation from the pure elements: 0.243 eV per atom
ρ: 8.136 g cm⁻³

***

No. 13
This record from the Alexandria database describes a geometry-optimized Y3GaSe2 structure. The functional is PBE.

Geometry as POSCAR:
```
Y3GaSe2
1.0
4.013 0.000 0.000
0.000 5.833 0.000
-2.006 -2.917 6.354
Y Ga Se
3 1 2
direct
0.165 0.665 0.831
0.500 0.000 0.500
0.835 0.335 0.169
0.500 0.500 0.500
0.168 0.168 0.837
0.832 0.832 0.163
```

Results
Formation energy (no corrections): -1.44 eV per atom
Crystal system: orthorhombic
ρ: 5.520 g cm⁻³

***

No. 14
This record from the Alexandria database describes a geometry-optimized Pr6Ho4Mg structure. The functional is PBE.

Geometry as POSCAR:
```
Pr6Ho4Mg
1.0
7.512 -3.047 -5.591
-5.221 8.100 2.026
-1.964 3.047 9.156
Ho Pr Mg
4 6 1
direct
0.638 0.990 0.990
0.000 0.648 0.010
0.000 0.010 0.648
0.362 0.352 0.352
0.348 0.539 0.539
0.652 0.191 0.191
0.500 0.500 0.000
0.500 0.000 0.500
0.000 0.461 0.809
0.000 0.809 0.461
0.000 0.000 0.000
```

Results
Crystal system: tetragonal
Energy of formation from the pure elements: 0.264 eV per atom
ρ: 6.733 g cm⁻³

***

No. 15
This record from the Alexandria database describes a geometry-optimized La2SnSb structure. The functional is PBE.

Geometry as POSCAR:
```
La2SnSb
1.0
-0.614 3.495 2.793
-3.406 -2.406 2.263
10.324 -3.584 6.755
Sn La Sb
2 4 2
direct
0.250 0.457 0.915
0.750 0.543 0.085
0.750 0.685 0.369
0.250 0.315 0.631
0.250 0.064 0.127
0.750 0.936 0.873
0.750 0.812 0.624
0.250 0.188 0.376
```

Results
Formation energy (no corrections): -1.03 eV per atom
Crystal system: orthorhombic
ρ: 6.362 g cm⁻³

***

No. 16
This record from the Alexandria database describes a geometry-optimized Mn2HgSb structure. The functional is PBE.

Geometry as POSCAR:
```
Mn2HgSb
1.0
-7.024 3.122 0.828
-6.429 1.533 4.011
-5.055 4.801 3.342
Hg Mn Sb
1 2 1
direct
0.750 0.750 0.750
0.502 0.502 0.502
0.998 0.998 0.998
0.250 0.250 0.250
```

Results
Formation energy (no corrections): 0.35 eV per atom
Crystal system: trigonal
ρ: 8.553 g cm⁻³

***

No. 17
This record from the Alexandria database describes a geometry-optimized TbHo7Mg2 structure. The functional is PBE.

Geometry as POSCAR:
```
TbHo7Mg2
1.0
-4.094 1.329 -2.958
5.240 -0.729 -7.579
-4.847 -7.023 3.553
Ho Tb Mg
7 1 2
direct
0.500 0.500 0.500
0.500 0.931 0.706
0.500 0.069 0.294
0.500 0.706 0.931
0.000 0.209 0.791
0.000 0.791 0.209
0.500 0.294 0.069
0.000 0.000 0.000
0.500 0.299 0.701
0.500 0.701 0.299
```

Results
Crystal system: orthorhombic
Energy of formation from the pure elements: 0.587 eV per atom
ρ: 6.081 g cm⁻³

***

No. 18
This record from the Alexandria database describes a geometry-optimized YCd2Mo structure. The functional is PBE.

Geometry as POSCAR:
```
YCd2Mo
1.0
5.000 0.000 0.000
2.500 4.330 0.000
2.500 1.443 4.083
Mo Cd Y
1 2 1
direct
0.500 0.500 0.500
0.250 0.250 0.250
0.000 0.000 0.000
0.750 0.750 0.750
```

Results
Crystal system: cubic
Energy of formation from the pure elements: 0.433 eV per atom
ρ: 7.695 g cm⁻³

***

No. 19
This record from the Alexandria database describes a geometry-optimized Sc4GaCuPd2 structure. The functional is PBE.

Geometry as POSCAR:
```
Sc4GaCuPd2
1.0
-3.917 1.874 1.781
-4.173 -1.908 -0.986
-2.074 -4.550 6.412
Pd Cu Ga Sc
2 1 1 4
direct
0.747 0.747 0.758
0.253 0.253 0.242
0.500 0.500 0.500
0.000 0.000 0.000
0.127 0.127 0.618
0.378 0.378 0.867
0.622 0.622 0.133
0.873 0.873 0.382
```

Results
Crystal system: trigonal
Energy of formation from the pure elements: -0.672 eV per atom
ρ: 5.972 g cm⁻³

***

No. 20
This record from the Alexandria database describes a geometry-optimized La2Nd7Ho4 structure. The functional is PBE.

Geometry as POSCAR:
```
La2Nd7Ho4
1.0
-4.137 0.481 -4.658
4.707 -4.089 -0.412
-7.554 -9.275 5.750
La Ho Nd
2 4 7
direct
0.333 0.667 0.000
0.667 0.333 0.000
0.333 0.667 0.500
0.667 0.333 0.500
0.000 0.000 0.607
0.000 0.000 0.393
0.629 0.000 0.774
0.371 0.371 0.774
0.000 0.371 0.226
0.629 0.629 0.226
0.371 0.000 0.226
0.000 0.000 0.000
0.000 0.629 0.774
```

Results
Crystal system: trigonal
Energy of formation from the pure elements: 0.175 eV per atom
ρ: 7.205 g cm⁻³